1.
The following is a GGA-PBE calculation of LiSn3Au6 after structural relaxation, from Alexandria via LeMat-Bulk.

a b c (Å): 4.662 12.365 7.611
angles (deg): 103.98 90.00 90.00
Positions (direct):
Au  0.750  0.984  0.889
Au  0.250  0.016  0.111
Au  0.250  0.379  0.602
Au  0.250  0.555  0.942
Sn  0.250  0.486  0.301
Au  0.250  0.249  0.242
Au  0.750  0.445  0.058
Au  0.250  0.918  0.671
Sn  0.250  0.120  0.554
Sn  0.750  0.514  0.699
Au  0.750  0.082  0.329
Au  0.750  0.257  0.695
Sn  0.250  0.792  0.960
Au  0.750  0.621  0.398
Li  0.250  0.324  0.920
Au  0.750  0.751  0.758
Li  0.750  0.676  0.080
Sn  0.750  0.208  0.040
Au  0.250  0.743  0.305
Sn  0.750  0.880  0.446

2.
The following is a GGA-PBE calculation of CaTlRu4 after structural relaxation, from Alexandria via LeMat-Bulk.

a b c (Å): 5.304 5.304 5.304
angles (deg): 60.00 60.00 60.00
Positions (direct):
Ru  0.376  0.376  0.873
Ru  0.376  0.376  0.376
Ca  0.000  0.000  0.000
Ru  0.376  0.873  0.376
Tl  0.750  0.750  0.750
Ru  0.873  0.376  0.376

3.
The following is a GGA-PBE calculation of ThMg2Au after structural relaxation, from Alexandria via LeMat-Bulk.

a b c (Å): 3.391 3.391 8.013
angles (deg): 90.00 90.00 90.00
Positions (direct):
Au  0.500  0.500  0.000
Mg  0.000  0.000  0.191
Mg  0.000  0.000  0.809
Th  0.500  0.500  0.500

4.
The following is a GGA-PBE calculation of AcEuTm after structural relaxation, from Alexandria via LeMat-Bulk.

a b c (Å): 3.854 3.854 8.226
angles (deg): 103.55 103.55 90.00
Positions (direct):
Eu  0.007  0.007  0.015
Tm  0.668  0.668  0.336
Ac  0.324  0.324  0.649

Number 1: calculated density 12052 kg/m³, formation enthalpy at 0 K -0.18 eV per atom. Number 2: calculated density 10208 kg/m³, formation enthalpy at 0 K 0.33 eV per atom. Number 3: calculated density 8605 kg/m³, formation enthalpy at 0 K -0.28 eV per atom. Number 4: calculated density 7891 kg/m³, formation enthalpy at 0 K 0.07 eV per atom.